The following is a DFT calculation (PBE+U) of Li3Si2Ni2O8 after structural relaxation.

Unit cell a=6.4113 b=5.0209 c=10.7640 alpha=90.00 beta=91.61 gamma=90.00
With the nearest neighbours (Å) after each atom.
Fractional coordinates of all 30 atoms:
Li (0.0000, 0.0492, 0.0000)  4 O 1.98-2.13
Li (0.0000, 0.9508, 0.5000)  4 O 1.98-2.13
Li (0.2491, 0.0557, 0.7681)  4 O 1.90-2.05
Li (0.2491, 0.9443, 0.2681)  4 O 1.90-2.05
Li (0.7572, 0.4430, 0.5832)  4 O 1.95-2.12
Li (0.7572, 0.5570, 0.0832)  4 O 1.95-2.12
Si (0.5041, 0.0593, 0.0138)  4 O 1.61-1.67
Si (0.5041, 0.9407, 0.5138)  4 O 1.61-1.67
Si (0.9985, 0.4331, 0.3316)  4 O 1.62-1.69
Si (0.9985, 0.5669, 0.8316)  4 O 1.62-1.69
Ni (0.2537, 0.4494, 0.5882)  4 O 1.82-1.93
Ni (0.2537, 0.5506, 0.0882)  4 O 1.82-1.93
Ni (0.7289, 0.0558, 0.7637)  4 O 1.92-2.01
Ni (0.7289, 0.9442, 0.2637)  4 O 1.92-2.01
O (0.0239, 0.4621, 0.9806)  1 Si 1.69
O (0.0239, 0.5379, 0.4806)  1 Si 1.69
O (0.2022, 0.4546, 0.7555)  1 Si 1.66, 1 Ni 1.84
O (0.2022, 0.5454, 0.2555)  1 Si 1.66, 1 Ni 1.84
O (0.2935, 0.0684, 0.5805)  1 Si 1.67
O (0.2935, 0.9316, 0.0805)  1 Si 1.67
O (0.4915, 0.3854, 0.0425)  1 Si 1.67, 1 Ni 1.82
O (0.4915, 0.6146, 0.5425)  1 Si 1.67, 1 Ni 1.82
O (0.4940, 0.0034, 0.3670)  1 Si 1.61
O (0.4940, 0.9966, 0.8670)  1 Si 1.61
O (0.7272, 0.0430, 0.5769)  1 Si 1.65
O (0.7272, 0.9570, 0.0769)  1 Si 1.65
O (0.7913, 0.4415, 0.7657)  1 Si 1.62
O (0.7913, 0.5585, 0.2657)  1 Si 1.62
O (0.9939, 0.1061, 0.3306)  1 Si 1.64
O (0.9939, 0.8939, 0.8306)  1 Si 1.64

ΔE to the lowest computed polymorph   7 kJ/mol of formula units
M_tot   5.1 μB per formula unit
Raw total energy   -0.2235 hartree per atom